# 1
First-principles (PBE) data for MnTc3Ir after structural relaxation, as listed in Alexandria via LeMat-Bulk.

Lattice parameters (Å, degrees): 4.3310 4.3310 4.3310 90.00 90.00 90.00
Last column: nearest neighbours and their distance in Å.
Atoms (fractional coordinates):
Ir 0.5000 0.5000 0.5000  12 Tc 3.06
Tc 0.0000 0.5000 0.0000  2 Mn 2.17
Tc 0.0000 0.0000 0.5000  2 Mn 2.17
Tc 0.5000 0.0000 0.0000  2 Mn 2.17
Mn 0.0000 0.0000 0.0000  6 Tc 2.17

## Properties
DFT formation energy in eV/atom: 1.247

# 2
First-principles (PBE) data for Er2Ge3Pt after structural relaxation, as listed in Alexandria via LeMat-Bulk.

Lattice parameters (Å, degrees): 4.2943 5.6987 5.7549 73.27 68.09 67.87
Last column: nearest neighbours and their distance in Å.
Atoms (fractional coordinates):
Er 0.5590 0.1813 0.7007  8 Ge 3.07-3.12, 2 Pt 3.16
Er 0.4326 0.8130 0.3217  7 Ge 2.93-3.16, 3 Pt 2.99-3.15
Ge 0.8640 0.6020 0.6700  1 Pt 2.54, 3 Ge 2.76-2.79
Ge 0.8258 0.2354 0.1129  2 Pt 2.51, 2 Ge 2.78-2.79
Ge 0.1517 0.7826 0.9140  1 Pt 2.61, 3 Ge 2.76-2.78
Pt 0.1669 0.3856 0.2807  4 Ge 2.51-2.61

## Properties
DFT formation energy in eV/atom: -0.810

# 3
First-principles (PBE) data for Cs2AgS after structural relaxation, as listed in Alexandria via LeMat-Bulk.

Lattice parameters (Å, degrees): 6.0020 6.0020 6.0020 60.00 60.00 60.00
Last column: nearest neighbours and their distance in Å.
Atoms (fractional coordinates):
Cs 0.2500 0.2500 0.2500  4 S 3.68, 4 Ag 3.68
Cs 0.7500 0.7500 0.7500  4 S 3.68, 4 Ag 3.68
S 0.0000 0.0000 0.0000  8 Cs 3.68
Ag 0.5000 0.5000 0.5000  8 Cs 3.68

## Properties
DFT total energy in eV per cell: -9.728

# 4
First-principles (PBE) data for Bi4Te3Se3 after structural relaxation, as listed in Alexandria via LeMat-Bulk.

Lattice parameters (Å, degrees): 10.8245 10.8245 7.4613 83.26 83.26 22.94
Last column: nearest neighbours and their distance in Å.
Atoms (fractional coordinates):
Bi 0.0900 0.0900 0.2987  5 Se 2.91-3.11, 1 Te 3.10
Bi 0.5913 0.5913 0.8073  4 Se 2.87-3.15, 2 Te 3.07
Bi 0.4121 0.4121 0.1966  3 Te 3.06-3.07, 3 Se 3.11-3.13
Bi 0.9114 0.9114 0.6962  3 Te 3.06, 3 Se 3.12-3.13
Te 0.1755 0.1755 0.6074  3 Bi 3.07-3.10
Te 0.8268 0.8268 0.3914  3 Bi 3.06-3.07
Te 0.3270 0.3270 0.8929  3 Bi 3.06
Se 0.0009 0.0009 0.9994  6 Bi 3.09-3.12
Se 0.5022 0.5022 0.4992  6 Bi 3.11-3.15
Se 0.6627 0.6627 0.1109  3 Bi 2.87-2.91

## Properties
DFT total energy in eV per cell: -38.673

# 5
First-principles (PBE) data for LaTb3PrNd after structural relaxation, as listed in Alexandria via LeMat-Bulk.

Lattice parameters (Å, degrees): 5.7015 10.5470 7.1091 90.15 90.00 105.68
Last column: nearest neighbours and their distance in Å.
Atoms (fractional coordinates):
La 0.3535 0.7071 0.9610  1 Pr 3.04, 2 Tb 3.24-3.39
La 0.6465 0.2929 0.0390  1 Pr 3.04, 2 Tb 3.24-3.39
Tb 0.8367 0.6734 0.2537  2 Pr 3.49, 2 La 3.55, 4 Tb 3.70-3.75
Tb 0.7791 0.5582 0.7515  3 Pr 3.35-3.57, 1 Nd 3.38, 3 La 3.39-3.55, 3 Tb 3.70-3.73
Tb 0.4768 0.9536 0.2512  1 Pr 3.23, 1 La 3.24, 2 Nd 3.26
Tb 0.2209 0.4418 0.2485  3 Pr 3.35-3.57, 1 Nd 3.38, 3 La 3.39-3.55, 3 Tb 3.70-3.73
Tb 0.5232 0.0464 0.7488  1 Pr 3.23, 1 La 3.24, 2 Nd 3.26
Tb 0.1633 0.3266 0.7463  2 Pr 3.49, 2 La 3.55, 4 Tb 3.70-3.75
Pr 0.6473 0.2947 0.4667  1 La 3.04, 2 Tb 3.23-3.35
Pr 0.3527 0.7053 0.5333  1 La 3.04, 2 Tb 3.23-3.35
Nd 0.0547 0.1093 0.2544  3 Tb 3.26-3.38
Nd 0.9453 0.8907 0.7456  3 Tb 3.26-3.38

## Properties
DFT formation energy in eV/atom: 0.173

# 6
First-principles (PBE) data for Ga2CuAsCl after structural relaxation, as listed in Alexandria via LeMat-Bulk.

Lattice parameters (Å, degrees): 4.9595 4.4591 4.9595 90.00 90.00 90.00
Last column: nearest neighbours and their distance in Å.
Atoms (fractional coordinates):
As 0.5000 0.5000 0.5000  8 Ga 3.33, 4 Cl 3.51
Cu 0.0000 0.0000 0.0000  2 Cl 2.23, 4 Ga 2.48
Ga 0.0000 0.0000 0.5000  2 Cu 2.48
Ga 0.5000 0.0000 0.0000  2 Cu 2.48
Cl 0.0000 0.5000 0.0000  2 Cu 2.23

## Properties
DFT total energy in eV per cell: -15.036

# 7
First-principles (PBE) data for KZr2RuI after structural relaxation, as listed in Alexandria via LeMat-Bulk.

Lattice parameters (Å, degrees): 5.2812 4.5069 5.2812 90.00 90.00 90.00
Last column: nearest neighbours and their distance in Å.
Atoms (fractional coordinates):
I 0.5000 0.5000 0.5000  8 Zr 3.47, 4 Ru 3.73
Ru 0.0000 0.5000 0.0000  2 K 2.25
K 0.0000 0.0000 0.0000  2 Ru 2.25
Zr 0.0000 0.0000 0.5000  2 K 2.64
Zr 0.5000 0.0000 0.0000  2 K 2.64

## Properties
DFT total energy in eV per cell: -18.548

# 8
First-principles (PBE) data for Fe2Cu3Pd3 after structural relaxation, as listed in Alexandria via LeMat-Bulk.

Lattice parameters (Å, degrees): 3.5913 3.8374 8.2044 103.52 102.64 90.00
Last column: nearest neighbours and their distance in Å.
Atoms (fractional coordinates):
Fe 0.7494 0.2494 0.4989  4 Pd 2.59-2.69, 4 Cu 2.62-2.69, 4 Fe 2.63
Fe 0.2506 0.7506 0.5011  4 Pd 2.59-2.69, 4 Cu 2.62-2.69, 4 Fe 2.63
Cu 0.6282 0.6282 0.2564  4 Fe 2.62-2.69, 6 Pd 2.63-2.68, 2 Cu 2.77
Cu 0.3718 0.3718 0.7436  4 Fe 2.62-2.69, 6 Pd 2.63-2.68, 2 Cu 2.77
Cu 0.5000 0.0000 0.0000  8 Pd 2.63-2.70, 4 Cu 2.77
Pd 0.1297 0.1297 0.2593  4 Fe 2.59-2.69, 6 Cu 2.63-2.70, 2 Pd 2.78
Pd 0.0000 0.5000 0.0000  8 Cu 2.63-2.68, 4 Pd 2.78
Pd 0.8703 0.8703 0.7407  4 Fe 2.59-2.69, 6 Cu 2.63-2.70, 2 Pd 2.78

## Properties
DFT formation energy in eV/atom: -0.050

# 9
First-principles (PBE) data for Hf2Sc5 after structural relaxation, as listed in Alexandria via LeMat-Bulk.

Lattice parameters (Å, degrees): 5.0738 5.0738 8.0278 71.58 71.58 60.00
Last column: nearest neighbours and their distance in Å.
Atoms (fractional coordinates):
Hf 0.6418 0.6418 0.0746  5 Sc 3.03-3.18, 3 Hf 3.13
Hf 0.3582 0.3582 0.9254  5 Sc 3.03-3.18, 3 Hf 3.13
Sc 0.0686 0.0686 0.7941  4 Sc 3.07-3.08, 3 Hf 3.09
Sc 0.7770 0.7770 0.6690  1 Hf 3.03, 6 Sc 3.07-3.19
Sc 0.5000 0.5000 0.5000  2 Hf 3.18, 6 Sc 3.19
Sc 0.2230 0.2230 0.3310  1 Hf 3.03, 6 Sc 3.07-3.19
Sc 0.9314 0.9314 0.2059  4 Sc 3.07-3.08, 3 Hf 3.09

## Properties
DFT formation energy in eV/atom: 0.150

# 10
First-principles (PBE) data for SrLaEuCd after structural relaxation, as listed in Alexandria via LeMat-Bulk.

Lattice parameters (Å, degrees): 5.8747 5.8747 5.8747 60.00 60.00 60.00
Last column: nearest neighbours and their distance in Å.
Atoms (fractional coordinates):
Eu 0.0000 0.0000 0.0000  4 Sr 3.60, 4 La 3.60
Sr 0.2500 0.2500 0.2500  4 Cd 3.60, 4 Eu 3.60
Cd 0.5000 0.5000 0.5000  4 La 3.60, 4 Sr 3.60
La 0.7500 0.7500 0.7500  4 Cd 3.60, 4 Eu 3.60

## Properties
DFT formation energy in eV/atom: -0.013

# 11
First-principles (PBE) data for AgIrCl after structural relaxation, as listed in Alexandria via LeMat-Bulk.

Lattice parameters (Å, degrees): 2.9972 2.9972 6.5415 90.00 90.00 120.00
Last column: nearest neighbours and their distance in Å.
Atoms (fractional coordinates):
Ir 0.3333 0.6667 0.6505  3 Cl 2.58, 3 Ag 2.82
Ag 0.0000 0.0000 0.9909  3 Ir 2.82, 3 Cl 2.96, 6 Ag 3.00
Cl 0.6667 0.3333 0.3586  3 Ir 2.58

## Properties
DFT total energy in eV per cell: -11.838